First-principles (PBE) data for an optimized crystal structure of Cu2OsW, as listed in Alexandria via LeMat-Bulk.

Summary:
The value obtained for the polymorph energy (0 for the lowest one) is 292 meV per atom. The calculation puts the total energy at -0.2786 Ha/atom. The energy relative to the elements comes out at 513.5 meV per atom.

Cell lengths 3.206, 3.206, 5.297 Å; angles 90.00, 90.00, 90.00 degrees
Positions (direct):
1 Cu 0.000 0.000 0.497
2 Cu 0.000 0.000 0.003
3 W 0.500 0.500 0.750
4 Os 0.500 0.500 0.250

---

First-principles (PBE) data for an optimized crystal structure of SmTlSn, as listed in Alexandria via LeMat-Bulk.

Summary:
The value obtained for the polymorph energy (0 for the lowest one) is 87 meV per atom. The calculation puts the total energy at -0.1497 Ha/atom. The energy relative to the elements comes out at -377.2 meV per atom.

Cell lengths 4.473, 4.753, 4.753 Å; angles 120.00, 90.00, 90.00 degrees
Positions (direct):
1 Sn 0.036 0.000 0.000
2 Tl 0.308 0.333 0.667
3 Sm 0.656 0.667 0.333

---

First-principles (PBE) data for an optimized crystal structure of NdIn2F11, as listed in Alexandria via LeMat-Bulk.

Summary:
The calculation puts the total energy at -0.1728 Ha/atom.

Cell lengths 8.126, 8.614, 8.614 Å; angles 72.94, 61.86, 61.86 degrees
Positions (direct):
1 Nd 0.750 0.750 0.750
2 Nd 0.250 0.250 0.250
3 F 0.151 0.051 0.209
4 F 0.469 0.962 0.314
5 F 0.105 0.193 0.807
6 F 0.605 0.307 0.693
7 F 0.411 0.791 0.949
8 F 0.245 0.538 0.186
9 F 0.755 0.462 0.814
10 F 0.651 0.709 0.551
11 F 0.031 0.186 0.538
12 F 0.589 0.209 0.051
13 F 0.395 0.693 0.307
14 F 0.255 0.314 0.962
15 F 0.969 0.814 0.462
16 F 0.000 0.000 0.000
17 F 0.349 0.291 0.449
18 F 0.500 0.500 0.500
19 F 0.849 0.949 0.791
20 F 0.911 0.449 0.291
21 F 0.089 0.551 0.709
22 F 0.531 0.038 0.686
23 F 0.745 0.686 0.038
24 F 0.895 0.807 0.193
25 In 0.837 0.192 0.808
26 In 0.163 0.808 0.192
27 In 0.663 0.692 0.308
28 In 0.337 0.308 0.692

---

First-principles (PBE) data for an optimized crystal structure of LaAlSb2, as listed in Alexandria via LeMat-Bulk.

Summary:
The calculation puts the total energy at -0.1628 Ha/atom.

Cell lengths 3.534, 3.534, 9.280 Å; angles 90.00, 90.00, 90.00 degrees
Positions (direct):
1 Sb 0.000 0.000 0.971
2 Sb 0.500 0.500 0.323
3 La 0.500 0.500 0.725
4 Al 0.000 0.000 0.481

---

First-principles (PBE) data for an optimized crystal structure of Tb2CdCo2, as listed in Alexandria via LeMat-Bulk.

Summary:
The calculation puts the total energy at -0.1889 Ha/atom. The energy relative to the elements comes out at -261.5 meV per atom.

Cell lengths 3.946, 3.854, 7.133 Å; angles 105.67, 90.00, 90.00 degrees
Positions (direct):
1 Tb 0.500 0.637 0.275
2 Tb 0.500 0.363 0.725
3 Co 0.000 0.208 0.417
4 Co 0.000 0.792 0.583
5 Cd 0.000 0.000 0.000

---

First-principles (PBE) data for an optimized crystal structure of K3Tm2RuO6, as listed in Alexandria via LeMat-Bulk.

Summary:
The calculation puts the total energy at -0.2365 Ha/atom.

Cell lengths 5.757, 5.757, 6.475 Å; angles 98.48, 98.48, 119.96 degrees
Positions (direct):
1 K 0.162 0.838 0.500
2 K 0.838 0.162 0.500
3 K 0.500 0.500 0.500
4 O 0.939 0.615 0.815
5 O 0.061 0.385 0.185
6 O 0.615 0.939 0.815
7 O 0.385 0.061 0.185
8 O 0.262 0.262 0.816
9 O 0.738 0.738 0.184
10 Tm 0.667 0.333 0.000
11 Tm 0.333 0.667 0.000
12 Ru 0.000 0.000 0.000

---

First-principles (PBE) data for an optimized crystal structure of SrLi2Mg3, as listed in Alexandria via LeMat-Bulk.

Summary:
The value obtained for the polymorph energy (0 for the lowest one) is 0 meV per atom. The calculation puts the total energy at -0.0636 Ha/atom. The energy relative to the elements comes out at -14.7 meV per atom.

Cell lengths 5.048, 5.048, 14.722 Å; angles 90.00, 90.00, 120.00 degrees
Positions (direct):
1 Sr 0.000 0.000 0.750
2 Sr 0.000 0.000 0.250
3 Mg 0.667 0.333 0.589
4 Mg 0.333 0.667 0.411
5 Mg 0.667 0.333 0.911
6 Mg 0.333 0.667 0.089
7 Mg 0.000 0.000 0.500
8 Mg 0.000 0.000 0.000
9 Li 0.333 0.667 0.603
10 Li 0.667 0.333 0.397
11 Li 0.667 0.333 0.103
12 Li 0.333 0.667 0.897

---

First-principles (PBE) data for an optimized crystal structure of LaFe4Sn12, as listed in Alexandria via LeMat-Bulk.

Summary:
The calculation puts the total energy at -0.1870 Ha/atom. The energy relative to the elements comes out at 17.5 meV per atom.

Cell lengths 8.093, 8.093, 8.093 Å; angles 109.47, 109.47, 109.47 degrees
Positions (direct):
1 Sn 0.332 0.159 0.827
2 Sn 0.173 0.668 0.841
3 Sn 0.504 0.173 0.332
4 Sn 0.827 0.668 0.496
5 Sn 0.841 0.173 0.668
6 Sn 0.496 0.827 0.668
7 Sn 0.668 0.841 0.173
8 Sn 0.668 0.496 0.827
9 Sn 0.332 0.504 0.173
10 Sn 0.159 0.827 0.332
11 Sn 0.827 0.332 0.159
12 Sn 0.173 0.332 0.505
13 La 0.000 0.000 0.000
14 Fe 0.500 0.000 0.000
15 Fe 0.000 0.500 0.000
16 Fe 0.500 0.500 0.500
17 Fe 0.000 0.000 0.500

---

First-principles (PBE) data for an optimized crystal structure of Sr2Tb4Sb3N2, as listed in Alexandria via LeMat-Bulk.

Summary:
The calculation puts the total energy at -0.2139 Ha/atom.

Cell lengths 4.775, 4.775, 13.353 Å; angles 100.30, 100.30, 90.00 degrees
Positions (direct):
1 N 0.592 0.592 0.185
2 N 0.408 0.408 0.815
3 Sb 0.000 0.000 0.000
4 Sb 0.171 0.171 0.342
5 Sb 0.829 0.829 0.658
6 Sr 0.306 0.306 0.613
7 Sr 0.694 0.694 0.387
8 Tb 0.082 0.582 0.164
9 Tb 0.582 0.082 0.164
10 Tb 0.418 0.918 0.836
11 Tb 0.918 0.418 0.836

---

First-principles (PBE) data for an optimized crystal structure of HgGe2Pt2, as listed in Alexandria via LeMat-Bulk.

Summary:
The value obtained for the polymorph energy (0 for the lowest one) is 118 meV per atom. The calculation puts the total energy at -0.1614 Ha/atom. The energy relative to the elements comes out at -68.6 meV per atom.

Cell lengths 8.106, 8.106, 2.773 Å; angles 90.00, 90.00, 90.00 degrees
Positions (direct):
1 Ge 0.133 0.367 0.000
2 Ge 0.867 0.633 0.000
3 Ge 0.367 0.867 0.000
4 Ge 0.633 0.133 0.000
5 Hg 0.000 0.000 0.000
6 Hg 0.500 0.500 0.000
7 Pt 0.842 0.342 0.500
8 Pt 0.342 0.158 0.500
9 Pt 0.158 0.658 0.500
10 Pt 0.658 0.842 0.500

---

First-principles (PBE) data for an optimized crystal structure of Cs3ZrB, as listed in Alexandria via LeMat-Bulk.

Summary:
The calculation puts the total energy at -0.0609 Ha/atom. The energy relative to the elements comes out at 1898.9 meV per atom.

Cell lengths 7.141, 7.141, 7.141 Å; angles 90.00, 90.00, 90.00 degrees
Positions (direct):
1 Cs 0.000 0.000 0.500
2 Cs 0.500 0.000 0.000
3 Cs 0.000 0.500 0.000
4 B 0.500 0.500 0.500
5 Zr 0.000 0.000 0.000

---

First-principles (PBE) data for an optimized crystal structure of TlBS2, as listed in Alexandria via LeMat-Bulk.

Summary:
The calculation puts the total energy at -0.1732 Ha/atom.

Cell lengths 5.170, 6.845, 6.846 Å; angles 90.04, 90.00, 90.00 degrees
Positions (direct):
1 Tl 0.722 0.236 0.324
2 Tl 0.222 0.737 0.824
3 S 0.222 0.315 0.021
4 S 0.722 0.434 0.747
5 S 0.722 0.041 0.902
6 S 0.222 0.160 0.628
7 B 0.972 0.237 0.824
8 B 0.472 0.237 0.824

---

First-principles (PBE) data for an optimized crystal structure of Th4InOs, as listed in Alexandria via LeMat-Bulk.

Summary:
The value obtained for the polymorph energy (0 for the lowest one) is 0 meV per atom. The calculation puts the total energy at -0.2768 Ha/atom. The energy relative to the elements comes out at -257.6 meV per atom.

Cell lengths 9.936, 9.936, 9.936 Å; angles 60.00, 60.00, 60.00 degrees
Positions (direct):
1 Th 0.186 0.186 0.814
2 Th 0.553 0.553 0.947
3 Th 0.404 0.789 0.404
4 Th 0.814 0.186 0.186
5 Th 0.186 0.814 0.186
6 Th 0.814 0.186 0.814
7 Th 0.404 0.404 0.404
8 Th 0.186 0.814 0.814
9 Th 0.947 0.553 0.553
10 Th 0.947 0.553 0.947
11 Th 0.789 0.404 0.404
12 Th 0.404 0.404 0.789
13 Th 0.553 0.947 0.947
14 Th 0.814 0.814 0.186
15 Th 0.553 0.947 0.553
16 Th 0.947 0.947 0.553
17 Os 0.611 0.611 0.168
18 Os 0.168 0.611 0.611
19 Os 0.611 0.611 0.611
20 Os 0.611 0.168 0.611
21 In 0.169 0.169 0.169
22 In 0.492 0.169 0.169
23 In 0.169 0.169 0.492
24 In 0.169 0.492 0.169

---

First-principles (PBE) data for an optimized crystal structure of LiY2, as listed in Alexandria via LeMat-Bulk.

Summary:
The value obtained for the polymorph energy (0 for the lowest one) is 48 meV per atom. The calculation puts the total energy at -0.1773 Ha/atom. The energy relative to the elements comes out at 123.8 meV per atom.

Cell lengths 6.529, 6.529, 7.730 Å; angles 72.82, 72.82, 33.07 degrees
Positions (direct):
1 Li 0.972 0.972 0.087
2 Li 0.306 0.306 0.357
3 Y 0.639 0.639 0.722
4 Y 0.639 0.639 0.222
5 Y 0.327 0.327 0.904
6 Y 0.951 0.951 0.540

---

First-principles (PBE) data for an optimized crystal structure of Sm2Tm5Th5, as listed in Alexandria via LeMat-Bulk.

Summary:
The calculation puts the total energy at -0.2094 Ha/atom. The energy relative to the elements comes out at 42.5 meV per atom.

Cell lengths 5.010, 7.952, 10.657 Å; angles 72.81, 76.40, 71.64 degrees
Positions (direct):
1 Sm 0.917 0.416 0.750
2 Sm 0.083 0.584 0.250
3 Th 0.000 0.000 0.000
4 Th 0.169 0.162 0.499
5 Th 0.831 0.838 0.501
6 Th 0.751 0.246 0.252
7 Th 0.249 0.754 0.748
8 Tm 0.585 0.078 0.752
9 Tm 0.415 0.922 0.248
10 Tm 0.668 0.668 0.996
11 Tm 0.500 0.500 0.500
12 Tm 0.332 0.332 0.004

---

First-principles (PBE) data for an optimized crystal structure of CaEuSb2, as listed in Alexandria via LeMat-Bulk.

Summary:
The value obtained for the polymorph energy (0 for the lowest one) is 0 meV per atom. The calculation puts the total energy at -0.2194 Ha/atom.

Cell lengths 4.304, 5.253, 5.253 Å; angles 90.00, 90.00, 90.00 degrees
Positions (direct):
1 Sb 0.000 0.000 0.500
2 Sb 0.000 0.500 0.000
3 Ca 0.500 0.000 0.000
4 Eu 0.500 0.500 0.500

---

First-principles (PBE) data for an optimized crystal structure of ScSbIr2, as listed in Alexandria via LeMat-Bulk.

Summary:
The calculation puts the total energy at -0.2765 Ha/atom.

Cell lengths 5.195, 5.195, 3.954 Å; angles 67.68, 67.68, 44.77 degrees
Positions (direct):
1 Sb 0.500 0.500 0.500
2 Sc 0.250 0.250 0.250
3 Ir 0.750 0.750 0.750
4 Ir 0.000 0.000 0.001

---

First-principles (PBE) data for an optimized crystal structure of Mg2Nb2Cl, as listed in Alexandria via LeMat-Bulk.

Summary:
The value obtained for the polymorph energy (0 for the lowest one) is 596 meV per atom. The calculation puts the total energy at -0.1581 Ha/atom.

Cell lengths 3.823, 3.823, 7.654 Å; angles 75.54, 75.54, 90.00 degrees
Positions (direct):
1 Mg 0.750 0.250 0.500
2 Mg 0.250 0.750 0.500
3 Cl 0.000 0.000 0.000
4 Nb 0.416 0.416 0.167
5 Nb 0.584 0.584 0.833

---

First-principles (PBE) data for an optimized crystal structure of RbAgO2, as listed in Alexandria via LeMat-Bulk.

Summary:
The calculation puts the total energy at -0.1486 Ha/atom.

Cell lengths 3.107, 3.944, 6.061 Å; angles 90.00, 90.00, 90.00 degrees
Positions (direct):
1 Rb 0.500 0.500 0.500
2 O 0.000 0.000 0.778
3 O 0.000 0.000 0.222
4 Ag 0.500 0.000 0.000

---

First-principles (PBE) data for an optimized crystal structure of Tm3CdPd12, as listed in Alexandria via LeMat-Bulk.

Summary:
The calculation puts the total energy at -0.2032 Ha/atom. The energy relative to the elements comes out at -740.5 meV per atom.

Cell lengths 4.073, 4.073, 16.358 Å; angles 90.00, 90.00, 90.00 degrees
Positions (direct):
1 Tm 0.000 0.000 0.248
2 Tm 0.000 0.000 0.500
3 Tm 0.000 0.000 0.752
4 Pd 0.500 0.000 0.374
5 Pd 0.000 0.500 0.374
6 Pd 0.500 0.500 0.751
7 Pd 0.500 0.500 0.500
8 Pd 0.000 0.500 0.123
9 Pd 0.000 0.500 0.626
10 Pd 0.500 0.000 0.123
11 Pd 0.500 0.500 0.249
12 Pd 0.500 0.000 0.877
13 Pd 0.000 0.500 0.877
14 Pd 0.500 0.500 0.000
15 Pd 0.500 0.000 0.626
16 Cd 0.000 0.000 0.000